A plane-wave DFT calculation with PBE with a Hubbard U was carried out for an optimized crystal structure of Er2Cr2O7.

Properties
V   250.69 Å³ per cell
Energy   -7.8662 eV/atom

Cell lengths 7.078, 7.078, 7.078 Å; angles 60.00, 60.00, 60.00 degrees
Element x y z (fractional)
Er1 0.000 0.000 0.000
Er2 0.000 0.000 0.500
Er3 0.000 0.500 0.000
Er4 0.500 0.000 0.000
Cr1 0.000 0.500 0.500
Cr2 0.500 0.000 0.500
Cr3 0.500 0.500 0.000
Cr4 0.500 0.500 0.500
O1 0.125 0.125 0.125
O2 0.169 0.169 0.581
O3 0.169 0.581 0.169
O4 0.169 0.581 0.581
O5 0.419 0.419 0.831
O6 0.419 0.831 0.419
O7 0.419 0.831 0.831
O8 0.581 0.169 0.169
O9 0.581 0.169 0.581
O10 0.581 0.581 0.169
O11 0.831 0.419 0.419
O12 0.831 0.419 0.831
O13 0.831 0.831 0.419
O14 0.875 0.875 0.875